Entry 1:
Here is a relaxed S2BrClO crystal from the Alexandria database. Energies are from PBE.

The energy is -2.297 eV/atom. Its energy above the most stable polymorph in this dataset is 0.000 eV per atom. The raw formation energy is 1.05 eV/atom. The mass density is 3.667 g cm⁻³.

The space group is P4/mmm (No. 123) and the conventional cell measures 4.3560, 4.3560 and 4.6653 Å, with angles of 90.00, 90.00 and 90.00 degrees. Symmetry generates all atoms from S at (0.0000, 0.5000, 0.0000), Br at (0.0000, 0.0000, 0.5000), Cl at (0.5000, 0.5000, 0.5000) and O at (0.5000, 0.5000, 0.0000).

---

Entry 2:
Here is a relaxed SBrCl2O crystal from the Alexandria database. Energies are from PBE.

The energy is -2.319 eV/atom. Its energy above the most stable polymorph in this dataset is 0.000 eV per atom. The raw formation energy is 0.57 eV/atom. The mass density is 2.471 g cm⁻³.

The space group is P4/mmm (No. 123) and the conventional cell measures 6.3786, 6.3786 and 3.2843 Å, with angles of 90.00, 90.00 and 90.00 degrees. Symmetry generates all atoms from S at (0.0000, 0.0000, 0.0000), Br at (0.5000, 0.5000, 0.0000), Cl at (0.0000, 0.5000, 0.5000) and O at (0.0000, 0.0000, 0.5000).

---

Entry 3:
Here is a relaxed S2BrClO crystal from the Alexandria database. Energies are from PBE.

The energy is -1.764 eV/atom. Its energy above the most stable polymorph in this dataset is 0.532 eV per atom. The raw formation energy is 1.58 eV/atom. The mass density is 2.649 g cm⁻³.

The space group is P4/mmm (No. 123) and the conventional cell measures 4.8910, 4.8910 and 5.1226 Å, with angles of 90.00, 90.00 and 90.00 degrees. Symmetry generates all atoms from S at (0.0000, 0.5000, 0.0000), Br at (0.0000, 0.0000, 0.0000), Cl at (0.0000, 0.0000, 0.5000) and O at (0.5000, 0.5000, 0.5000).

---

Entry 4:
Here is a relaxed SBrCl2O crystal from the Alexandria database. Energies are from PBE.

The energy is -1.611 eV/atom. Its energy above the most stable polymorph in this dataset is 0.708 eV per atom. The raw formation energy is 1.28 eV/atom. The mass density is 2.530 g cm⁻³.

The space group is P4/mmm (No. 123) and the conventional cell measures 5.1537, 5.1537 and 4.9141 Å, with angles of 90.00, 90.00 and 90.00 degrees. Symmetry generates all atoms from S at (0.0000, 0.0000, 0.0000), Br at (0.0000, 0.0000, 0.5000), Cl at (0.0000, 0.5000, 0.5000) and O at (0.5000, 0.5000, 0.0000).

---

Entry 5:
Here is a relaxed ScBrCl2O crystal from the Alexandria database. Energies are from PBE.

The energy is -3.396 eV/atom. The raw formation energy is -0.07 eV/atom. The mass density is 3.612 g cm⁻³.

The space group is P4/mmm (No. 123) and the conventional cell measures 4.5808, 4.5808 and 4.6389 Å, with angles of 90.00, 90.00 and 90.00 degrees. Symmetry generates all atoms from Sc at (0.0000, 0.0000, 0.0000), Br at (0.5000, 0.5000, 0.0000), Cl at (0.0000, 0.5000, 0.5000) and O at (0.5000, 0.5000, 0.5000).

---

Entry 6:
Here is a relaxed Se2BrClO crystal from the Alexandria database. Energies are from PBE.

The energy is -2.358 eV/atom. Its energy above the most stable polymorph in this dataset is 0.000 eV per atom. The raw formation energy is 0.73 eV/atom. The mass density is 4.820 g cm⁻³.

The space group is P4/mmm (No. 123) and the conventional cell measures 4.5560, 4.5560 and 4.8016 Å, with angles of 90.00, 90.00 and 90.00 degrees. Symmetry generates all atoms from Se at (0.0000, 0.5000, 0.0000), Br at (0.0000, 0.0000, 0.5000), Cl at (0.5000, 0.5000, 0.5000) and O at (0.0000, 0.0000, 0.0000).

---

Entry 7:
Here is a relaxed Se2BrClO crystal from the Alexandria database. Energies are from PBE.

The energy is -1.810 eV/atom. Its energy above the most stable polymorph in this dataset is 0.548 eV per atom. The raw formation energy is 1.28 eV/atom. The mass density is 3.088 g cm⁻³.

The space group is P4/mmm (No. 123) and the conventional cell measures 4.8752, 4.8752 and 6.5446 Å, with angles of 90.00, 90.00 and 90.00 degrees. Symmetry generates all atoms from Se at (0.0000, 0.5000, 0.0000), Br at (0.0000, 0.0000, 0.5000), Cl at (0.0000, 0.0000, 0.0000) and O at (0.5000, 0.5000, 0.5000).

---

Entry 8:
Here is a relaxed Sr2BrClO crystal from the Alexandria database. Energies are from PBE.

The energy is -4.843 eV/atom. The raw formation energy is -2.47 eV/atom. The mass density is 3.581 g cm⁻³.

The space group is C2/m (No. 12) and the conventional cell measures 15.6162, 4.1654 and 11.0047 Å, with angles of 90.00, 127.40 and 90.00 degrees. Symmetry generates all atoms from Sr at (0.0070, 0.0000, 0.3206), Sr at (0.1848, 0.5000, 0.0575), Br at (0.1422, 0.5000, 0.6321), Cl at (0.0792, 0.5000, 0.2207) and O at (0.1498, 0.0000, 0.9197).

---

Entry 9:
Here is a relaxed TlBr2ClO crystal from the Alexandria database. Energies are from PBE.

The energy is -2.167 eV/atom. The raw formation energy is 0.34 eV/atom. The mass density is 4.163 g cm⁻³.

The space group is P4/mmm (No. 123) and the conventional cell measures 5.6246, 5.6246 and 5.2405 Å, with angles of 90.00, 90.00 and 90.00 degrees. Symmetry generates all atoms from Tl at (0.0000, 0.0000, 0.0000), Br at (0.0000, 0.5000, 0.0000), Cl at (0.0000, 0.0000, 0.5000) and O at (0.5000, 0.5000, 0.5000).

---

Entry 10:
Here is a relaxed YBrCl2O crystal from the Alexandria database. Energies are from PBE.

The energy is -3.702 eV/atom. The raw formation energy is -0.34 eV/atom. The mass density is 4.183 g cm⁻³.

The space group is P4/mmm (No. 123) and the conventional cell measures 4.7252, 4.7252 and 4.5468 Å, with angles of 90.00, 90.00 and 90.00 degrees. Symmetry generates all atoms from Y at (0.0000, 0.0000, 0.0000), Br at (0.5000, 0.5000, 0.0000), Cl at (0.0000, 0.5000, 0.5000) and O at (0.5000, 0.5000, 0.5000).

---

Entry 11:
Here is a relaxed OsBrCl4 crystal from the Alexandria database. Energies are from PBE.

The energy is -1.931 eV/atom. Its energy above the most stable polymorph in this dataset is 1.659 eV per atom. The raw formation energy is 1.45 eV/atom. The mass density is 5.124 g cm⁻³.

The space group is F-43m (No. 216) and the conventional cell measures 8.1127, 8.1127 and 8.1127 Å, with angles of 90.00, 90.00 and 90.00 degrees. Symmetry generates all atoms from Os at (0.0000, 0.0000, 0.0000), Br at (0.2500, 0.2500, 0.7500) and Cl at (0.1260, 0.1260, 0.3740).

---

Entry 12:
Here is a relaxed OsBr3Cl3 crystal from the Alexandria database. Energies are from PBE.

The energy is -3.153 eV/atom. The raw formation energy is -0.04 eV/atom. The mass density is 3.456 g cm⁻³.

The space group is R3m (No. 160, hexagonal axes) and the conventional cell measures 11.0740, 11.0740 and 7.2796 Å, with angles of 90.00, 90.00 and 120.00 degrees. Symmetry generates all atoms from Os at (0.0000, 0.0000, 0.0000), Br at (0.0977, 0.1953, 0.7816) and Cl at (0.0920, 0.1841, 0.2005).

---

Entry 13:
Here is a relaxed OsBr2Cl8 crystal from the Alexandria database. Energies are from PBE.

The energy is -2.880 eV/atom. The raw formation energy is -0.21 eV/atom. The mass density is 2.731 g cm⁻³.

The space group is C2/m (No. 12) and the conventional cell measures 15.6879, 7.2311 and 7.3439 Å, with angles of 90.00, 112.32 and 90.00 degrees. Symmetry generates all atoms from Os at (0.0000, 0.0000, 0.0000), Br at (0.2444, 0.5000, 0.5489), Cl at (0.0747, 0.0000, 0.3442), Cl at (0.0925, 0.5000, 0.4484) and Cl at (0.0988, 0.2235, 0.9772).

---

Entry 14:
Here is a relaxed OsBrCl4 crystal from the Alexandria database. Energies are from PBE.

The energy is -3.590 eV/atom. Its energy above the most stable polymorph in this dataset is 0.000 eV per atom. The raw formation energy is -0.21 eV/atom. The mass density is 2.844 g cm⁻³.

The space group is P2_1/c (No. 14) and the conventional cell measures 5.2685, 6.6083 and 13.8224 Å, with angles of 90.00, 91.23 and 90.00 degrees. Symmetry generates all atoms from Os at (0.0000, 0.0000, 0.0000), Br at (0.5000, 0.0000, 0.0000), Cl at (0.0046, 0.2057, 0.5851) and Cl at (0.0078, 0.6783, 0.6408).

---

Entry 15:
Here is a relaxed Os2Br3Cl4 crystal from the Alexandria database. Energies are from PBE.

The energy is -4.041 eV/atom. The raw formation energy is -0.17 eV/atom. The mass density is 5.277 g cm⁻³.

The space group is C2/c (No. 15) and the conventional cell measures 13.3088, 11.7093 and 6.6816 Å, with angles of 90.00, 112.91 and 90.00 degrees. Symmetry generates all atoms from Os at (0.1767, 0.1240, 0.3492), Br at (0.0000, 0.0265, 0.2500), Br at (0.1223, 0.2258, 0.0095), Cl at (0.1431, 0.2908, 0.5171) and Cl at (0.2472, 0.0276, 0.7017).

---

Entry 16:
Here is a relaxed OsBr3Cl2 crystal from the Alexandria database. Energies are from PBE.

The energy is -3.541 eV/atom. The raw formation energy is -0.22 eV/atom. The mass density is 3.959 g cm⁻³.

The space group is P-1 (No. 2) and the conventional cell measures 6.8860, 7.6523 and 9.1038 Å, with angles of 73.44, 72.47 and 69.67 degrees. Symmetry generates all atoms from Os at (0.0920, 0.1624, 0.2987), Br at (0.1488, 0.0662, 0.5833), Br at (0.3205, 0.3647, 0.2269), Br at (0.3913, 0.8887, 0.2330), Cl at (0.0068, 0.2216, 0.0643) and Cl at (0.2007, 0.5964, 0.6219).

---

Entry 17:
Here is a relaxed OsBr3Cl6 crystal from the Alexandria database. Energies are from PBE.

The energy is -2.919 eV/atom. The raw formation energy is -0.19 eV/atom. The mass density is 3.004 g cm⁻³.

The space group is R-3m (No. 166, hexagonal axes) and the conventional cell measures 13.2188, 13.2188 and 14.0862 Å, with angles of 90.00, 90.00 and 120.00 degrees. Symmetry generates all atoms from Os at (0.0000, 0.0000, 0.0000), Os at (0.0000, 0.0000, 0.5000), Br at (0.0434, 0.5217, 0.4262), Cl at (0.0821, 0.1642, 0.0931) and Cl at (0.0823, 0.1646, 0.4051).

---

Entry 18:
Here is a relaxed Os2Br4Cl5 crystal from the Alexandria database. Energies are from PBE.

The energy is -3.665 eV/atom. The raw formation energy is -0.18 eV/atom. The mass density is 4.179 g cm⁻³.

The space group is P2/m (No. 10) and the conventional cell measures 8.0081, 3.8109 and 11.5913 Å, with angles of 90.00, 99.79 and 90.00 degrees. Symmetry generates all atoms from Os at (0.2318, 0.0000, 0.2677), Br at (0.0168, 0.5000, 0.2428), Br at (0.4436, 0.5000, 0.2911), Cl at (0.2226, 0.0000, 0.0707), Cl at (0.2252, 0.0000, 0.4628) and Cl at (0.5000, 0.0000, 0.0000).

---

Entry 19:
Here is a relaxed OsBr3Cl crystal from the Alexandria database. Energies are from PBE.

The energy is -3.765 eV/atom. Its energy above the most stable polymorph in this dataset is 0.004 eV per atom. The raw formation energy is -0.15 eV/atom. The mass density is 4.806 g cm⁻³.

The space group is P2_1/c (No. 14) and the conventional cell measures 9.6255, 6.3891 and 13.9144 Å, with angles of 90.00, 131.26 and 90.00 degrees. Symmetry generates all atoms from Os at (0.0022, 0.0732, 0.1332), Br at (0.0973, 0.7321, 0.5717), Br at (0.1191, 0.5925, 0.8431), Br at (0.3092, 0.2225, 0.2548) and Cl at (0.2834, 0.0702, 0.9789).

---

Entry 20:
Here is a relaxed OsBrCl3 crystal from the Alexandria database. Energies are from PBE.

The energy is -2.140 eV/atom. Its energy above the most stable polymorph in this dataset is 1.826 eV per atom. The raw formation energy is 1.55 eV/atom. The mass density is 4.249 g cm⁻³.

The space group is Pm-3m (No. 221) and the conventional cell measures 5.2792, 5.2792 and 5.2792 Å, with angles of 90.00, 90.00 and 90.00 degrees. Symmetry generates all atoms from Os at (0.0000, 0.0000, 0.0000), Br at (0.5000, 0.5000, 0.5000) and Cl at (0.0000, 0.5000, 0.5000).